## PmSm2HoSc (PBE-GGA)

Data for a geometry-optimized PmSm2HoSc structure.

It has space group Cmcm (No. 63), with a = 6.4265 Å, b = 15.9231 Å, c = 6.4284 Å, α = 90.00°, β = 90.00° and γ = 90.00°. The inequivalent atoms are Pm at (0.0000, 0.1626, 0.2500), Sm at (0.2484, 0.5000, 0.0000), Ho at (0.0000, 0.2516, 0.7500) and Sc at (0.0000, 0.3461, 0.2500).

For the formation enthalpy at 0 K, the calculation gives 368 meV/atom. As for the total DFT energy (no corrections): -4.652 eV per atom. The crystal system is orthorhombic. For the spin magnetization, the calculation gives 0.000 μB per formula unit. The calculation puts the density of states at the Fermi level at 29.656 states/eV per cell.

## CePrPaAl (PBE-GGA)

Data for a geometry-optimized CePrPaAl structure.

It has space group F-43m (No. 216), with a = 7.5028 Å, b = 7.5028 Å, c = 7.5028 Å, α = 90.00°, β = 90.00° and γ = 90.00°. The inequivalent atoms are Ce at (0.0000, 0.0000, 0.0000), Pr at (0.0000, 0.0000, 0.5000), Pa at (0.2500, 0.2500, 0.7500) and Al at (0.2500, 0.2500, 0.2500).

For the formation enthalpy at 0 K, the calculation gives 175 meV/atom. As for the total DFT energy (no corrections): -5.813 eV per atom. The crystal system is cubic. For the spin magnetization, the calculation gives 1.521 μB per formula unit. The calculation puts the density of states at the Fermi level at 36.142 states/eV per cell.

Copy entry 1 word for word.
## PmSm2HoSc (PBE-GGA)

Data for a geometry-optimized PmSm2HoSc structure.

It has space group Cmcm (No. 63), with a = 6.4265 Å, b = 15.9231 Å, c = 6.4284 Å, α = 90.00°, β = 90.00° and γ = 90.00°. The inequivalent atoms are Pm at (0.0000, 0.1626, 0.2500), Sm at (0.2484, 0.5000, 0.0000), Ho at (0.0000, 0.2516, 0.7500) and Sc at (0.0000, 0.3461, 0.2500).

For the formation enthalpy at 0 K, the calculation gives 368 meV/atom. As for the total DFT energy (no corrections): -4.652 eV per atom. The crystal system is orthorhombic. For the spin magnetization, the calculation gives 0.000 μB per formula unit. The calculation puts the density of states at the Fermi level at 29.656 states/eV per cell.

- Among the records above, which one has the highest total DFT energy (no corrections)?
  PmSm2HoSc

- spin magnetization of number 2 (CePrPaAl)?
  1.521 μB per formula unit